<a>
# GGA-PBE TeAsBr3, optimized geometry
data_TeAsBr3
_chemical_formula_sum 'Te1 As1 Br3'
_space_group_name_H-M_alt 'P 1'
_space_group_IT_number 1
_space_group_name_Hall 'P 1'
_cell_length_a 5.401
_cell_length_b 5.401
_cell_length_c 5.401
_cell_angle_alpha 90.00
_cell_angle_beta 90.00
_cell_angle_gamma 90.00
loop_
_atom_site_label
_atom_site_fract_x
_atom_site_fract_y
_atom_site_fract_z
Te1 0.000 0.000 0.000
As1 0.500 0.500 0.500
Br1 0.000 0.500 0.500
Br2 0.500 0.000 0.500
Br3 0.500 0.500 0.000
# Symmetry ... Pm-3m (221)

=====

<b>
# GGA-PBE TeAsBr3, optimized geometry
data_TeAsBr3
_chemical_formula_sum 'Te1 As1 Br3'
_space_group_name_H-M_alt 'P 1'
_space_group_IT_number 1
_space_group_name_Hall 'P 1'
_cell_length_a 5.624
_cell_length_b 5.624
_cell_length_c 5.624
_cell_angle_alpha 90.00
_cell_angle_beta 90.00
_cell_angle_gamma 90.00
loop_
_atom_site_label
_atom_site_fract_x
_atom_site_fract_y
_atom_site_fract_z
Te1 0.000 0.000 0.000
As1 0.500 0.500 0.500
Br1 0.000 0.000 0.500
Br2 0.000 0.500 0.000
Br3 0.500 0.000 0.000
# Symmetry ... Pm-3m (221)

=====

<c>
# GGA-PBE TeAsBr3, optimized geometry
data_TeAsBr3
_chemical_formula_sum 'Te2 As2 Br6'
_space_group_name_H-M_alt 'P 1'
_space_group_IT_number 1
_space_group_name_Hall 'P 1'
_cell_length_a 4.031
_cell_length_b 7.566
_cell_length_c 14.158
_cell_angle_alpha 82.10
_cell_angle_beta 84.97
_cell_angle_gamma 76.29
loop_
_atom_site_label
_atom_site_fract_x
_atom_site_fract_y
_atom_site_fract_z
Te1 0.000 0.000 0.000
Te2 0.152 0.708 0.915
As1 0.360 0.389 0.609
As2 0.793 0.319 0.307
Br1 0.294 0.548 0.362
Br2 0.332 0.262 0.771
Br3 0.528 0.065 0.291
Br4 0.625 0.642 0.624
Br5 0.822 0.445 0.144
Br6 0.859 0.160 0.553
# Symmetry ... P1 (1)

=====

Result of the stability comparison: <c> is the most stable of them.

=====

<a>
# GGA-PBE TeAs2WBr, optimized geometry
data_TeAs2WBr
_chemical_formula_sum 'Te1 As2 W1 Br1'
_space_group_name_H-M_alt 'P 1'
_space_group_IT_number 1
_space_group_name_Hall 'P 1'
_cell_length_a 5.022
_cell_length_b 5.022
_cell_length_c 4.894
_cell_angle_alpha 90.00
_cell_angle_beta 90.00
_cell_angle_gamma 90.00
loop_
_atom_site_label
_atom_site_fract_x
_atom_site_fract_y
_atom_site_fract_z
Te1 0.000 0.000 0.000
As1 0.000 0.500 0.500
As2 0.500 0.000 0.500
W1 0.500 0.500 0.500
Br1 0.500 0.500 0.000
# Symmetry ... P4/mmm (123)

=====

<b>
# GGA-PBE TeAs2WBr, optimized geometry
data_TeAs2WBr
_chemical_formula_sum 'Te1 As2 W1 Br1'
_space_group_name_H-M_alt 'P 1'
_space_group_IT_number 1
_space_group_name_Hall 'P 1'
_cell_length_a 5.202
_cell_length_b 5.202
_cell_length_c 4.700
_cell_angle_alpha 90.00
_cell_angle_beta 90.00
_cell_angle_gamma 90.00
loop_
_atom_site_label
_atom_site_fract_x
_atom_site_fract_y
_atom_site_fract_z
Te1 0.000 0.000 0.000
As1 0.000 0.500 0.500
As2 0.500 0.000 0.500
W1 0.500 0.500 0.000
Br1 0.500 0.500 0.500
# Symmetry ... P4/mmm (123)

=====

<c>
# GGA-PBE TeAs2WBr, optimized geometry
data_TeAs2WBr
_chemical_formula_sum 'Te1 As2 W1 Br1'
_space_group_name_H-M_alt 'P 1'
_space_group_IT_number 1
_space_group_name_Hall 'P 1'
_cell_length_a 5.379
_cell_length_b 5.379
_cell_length_c 5.256
_cell_angle_alpha 90.00
_cell_angle_beta 90.00
_cell_angle_gamma 90.00
loop_
_atom_site_label
_atom_site_fract_x
_atom_site_fract_y
_atom_site_fract_z
Te1 0.000 0.000 0.000
As1 0.000 0.500 0.000
As2 0.500 0.000 0.000
W1 0.500 0.500 0.500
Br1 0.000 0.000 0.500
# Symmetry ... P4/mmm (123)

=====

Result of the stability comparison: <a> is the most stable of them.

=====

<a>
# GGA-PBE ZnTeAsBr2, optimized geometry
data_ZnTeAsBr2
_chemical_formula_sum 'Zn1 Te1 As1 Br2'
_space_group_name_H-M_alt 'P 1'
_space_group_IT_number 1
_space_group_name_Hall 'P 1'
_cell_length_a 5.668
_cell_length_b 5.668
_cell_length_c 5.683
_cell_angle_alpha 90.00
_cell_angle_beta 90.00
_cell_angle_gamma 90.00
loop_
_atom_site_label
_atom_site_fract_x
_atom_site_fract_y
_atom_site_fract_z
Zn1 0.000 0.000 0.000
Te1 0.500 0.500 0.500
As1 0.500 0.500 0.000
Br1 0.000 0.500 0.500
Br2 0.500 0.000 0.500
# Symmetry ... P4/mmm (123)

=====

<b>
# GGA-PBE ZnTeAsBr2, optimized geometry
data_ZnTeAsBr2
_chemical_formula_sum 'Zn1 Te1 As1 Br2'
_space_group_name_H-M_alt 'P 1'
_space_group_IT_number 1
_space_group_name_Hall 'P 1'
_cell_length_a 4.944
_cell_length_b 4.944
_cell_length_c 5.362
_cell_angle_alpha 90.00
_cell_angle_beta 90.00
_cell_angle_gamma 90.00
loop_
_atom_site_label
_atom_site_fract_x
_atom_site_fract_y
_atom_site_fract_z
Zn1 0.000 0.000 0.000
Te1 0.500 0.500 0.500
As1 0.000 0.000 0.500
Br1 0.000 0.500 0.000
Br2 0.500 0.000 0.000
# Symmetry ... P4/mmm (123)

=====

Result of the stability comparison: <b> is the most stable of them.

=====

<a>
# GGA-PBE ZnTeAs2Br, optimized geometry
data_ZnTeAs2Br
_chemical_formula_sum 'Zn1 Te1 As2 Br1'
_space_group_name_H-M_alt 'P 1'
_space_group_IT_number 1
_space_group_name_Hall 'P 1'
_cell_length_a 5.045
_cell_length_b 5.045
_cell_length_c 4.855
_cell_angle_alpha 90.00
_cell_angle_beta 90.00
_cell_angle_gamma 90.00
loop_
_atom_site_label
_atom_site_fract_x
_atom_site_fract_y
_atom_site_fract_z
Zn1 0.000 0.000 0.000
Te1 0.500 0.500 0.500
As1 0.000 0.500 0.000
As2 0.500 0.000 0.000
Br1 0.000 0.000 0.500
# Symmetry ... P4/mmm (123)

=====

<b>
# GGA-PBE ZnTeAs2Br, optimized geometry
data_ZnTeAs2Br
_chemical_formula_sum 'Zn1 Te1 As2 Br1'
_space_group_name_H-M_alt 'P 1'
_space_group_IT_number 1
_space_group_name_Hall 'P 1'
_cell_length_a 5.448
_cell_length_b 5.448
_cell_length_c 5.722
_cell_angle_alpha 90.00
_cell_angle_beta 90.00
_cell_angle_gamma 90.00
loop_
_atom_site_label
_atom_site_fract_x
_atom_site_fract_y
_atom_site_fract_z
Zn1 0.000 0.000 0.000
Te1 0.500 0.500 0.500
As1 0.000 0.500 0.500
As2 0.500 0.000 0.500
Br1 0.500 0.500 0.000
# Symmetry ... P4/mmm (123)

=====

Result of the stability comparison: <a> is the most stable of them.

=====

<a>
# GGA-PBE TiAsBr2, optimized geometry
data_TiAsBr2
_chemical_formula_sum 'Ti1 As1 Br2'
_space_group_name_H-M_alt 'P 1'
_space_group_IT_number 1
_space_group_name_Hall 'P 1'
_cell_length_a 11.250
_cell_length_b 11.250
_cell_length_c 11.250
_cell_angle_alpha 16.77
_cell_angle_beta 16.77
_cell_angle_gamma 16.77
loop_
_atom_site_label
_atom_site_fract_x
_atom_site_fract_y
_atom_site_fract_z
Ti1 0.000 0.000 0.000
As1 0.500 0.500 0.500
Br1 0.387 0.387 0.387
Br2 0.613 0.613 0.613
# Symmetry ... R-3m (166)

=====

<b>
# GGA-PBE TiAsBr2, optimized geometry
data_TiAsBr2
_chemical_formula_sum 'Ti1 As1 Br2'
_space_group_name_H-M_alt 'P 1'
_space_group_IT_number 1
_space_group_name_Hall 'P 1'
_cell_length_a 4.835
_cell_length_b 4.835
_cell_length_c 4.835
_cell_angle_alpha 60.00
_cell_angle_beta 60.00
_cell_angle_gamma 60.00
loop_
_atom_site_label
_atom_site_fract_x
_atom_site_fract_y
_atom_site_fract_z
Ti1 0.000 0.000 0.000
As1 0.500 0.500 0.500
Br1 0.250 0.250 0.250
Br2 0.750 0.750 0.750
# Symmetry ... Fm-3m (225)

=====

<c>
# GGA-PBE TiAsBr2, optimized geometry
data_TiAsBr2
_chemical_formula_sum 'Ti2 As2 Br4'
_space_group_name_H-M_alt 'P 1'
_space_group_IT_number 1
_space_group_name_Hall 'P 1'
_cell_length_a 7.175
_cell_length_b 7.175
_cell_length_c 7.175
_cell_angle_alpha 96.83
_cell_angle_beta 96.83
_cell_angle_gamma 139.66
loop_
_atom_site_label
_atom_site_fract_x
_atom_site_fract_y
_atom_site_fract_z
Ti1 0.000 0.000 0.000
Ti2 0.750 0.250 0.500
As1 0.250 0.750 0.500
As2 0.500 0.500 0.000
Br1 0.375 0.220 0.345
Br2 0.780 0.125 0.155
Br3 0.875 0.030 0.655
Br4 0.970 0.625 0.845
# Symmetry ... I-42d (122)

=====

Result of the stability comparison: <c> is the most stable of them.

=====

<a>
# GGA-PBE TiAsWBr2, optimized geometry
data_TiAsWBr2
_chemical_formula_sum 'Ti1 As1 W1 Br2'
_space_group_name_H-M_alt 'P 1'
_space_group_IT_number 1
_space_group_name_Hall 'P 1'
_cell_length_a 4.863
_cell_length_b 4.863
_cell_length_c 5.371
_cell_angle_alpha 90.00
_cell_angle_beta 90.00
_cell_angle_gamma 90.00
loop_
_atom_site_label
_atom_site_fract_x
_atom_site_fract_y
_atom_site_fract_z
Ti1 0.000 0.000 0.000
As1 0.000 0.000 0.500
W1 0.500 0.500 0.500
Br1 0.000 0.500 0.000
Br2 0.500 0.000 0.000
# Symmetry ... P4/mmm (123)

=====

<b>
# GGA-PBE TiAsWBr2, optimized geometry
data_TiAsWBr2
_chemical_formula_sum 'Ti1 As1 W1 Br2'
_space_group_name_H-M_alt 'P 1'
_space_group_IT_number 1
_space_group_name_Hall 'P 1'
_cell_length_a 5.198
_cell_length_b 5.198
_cell_length_c 4.906
_cell_angle_alpha 90.00
_cell_angle_beta 90.00
_cell_angle_gamma 90.00
loop_
_atom_site_label
_atom_site_fract_x
_atom_site_fract_y
_atom_site_fract_z
Ti1 0.000 0.000 0.000
As1 0.500 0.500 0.000
W1 0.500 0.500 0.500
Br1 0.000 0.500 0.500
Br2 0.500 0.000 0.500
# Symmetry ... P4/mmm (123)

=====

Result of the stability comparison: <b> is the most stable of them.